Computed, not measured: a geometry-optimized CaYAlO4 structure at the GGA-PBEsol level of DFT.

Properties
- Spin magnetization: 0.00 Bohr magnetons per cell
- Raw formation energy: -3.274 eV/atom

a = 3.6333 Å, b = 3.6333 Å, c = 11.7610 Å
α = 90.00°, β = 90.00°, γ = 90.00°
With the nearest neighbours (Å) after each atom.
Atoms (fractional coordinates):
Ca 0.0000 0.0000 0.0000  1 O 2.22
Ca 0.5000 0.5000 0.5000  1 O 2.22
Y 0.0000 0.0000 0.2859  5 O 2.21-2.42
Y 0.5000 0.5000 0.7859  5 O 2.21-2.42
Al 0.0000 0.0000 0.6388  6 O 1.82-2.03
Al 0.5000 0.5000 0.1388  6 O 1.82-2.03
O 0.0000 0.0000 0.4734  1 Al 1.94
O 0.0000 0.0000 0.8115  1 Al 2.03, 1 Ca 2.22
O 0.0000 0.5000 0.1496  2 Al 1.82
O 0.0000 0.5000 0.6496  2 Al 1.82
O 0.5000 0.0000 0.1496  2 Al 1.82
O 0.5000 0.0000 0.6496  2 Al 1.82
O 0.5000 0.5000 0.3115  1 Al 2.03, 1 Ca 2.22
O 0.5000 0.5000 0.9734  1 Al 1.94


Computed, not measured: a geometry-optimized HoErTl2 structure at the GGA-PBEsol level of DFT.

Properties
- Spin magnetization: 0.00 Bohr magnetons per cell
- Energy of formation from the pure elements: -0.3961 eV/atom

a = 7.4019 Å, b = 7.4019 Å, c = 7.4019 Å
α = 90.00°, β = 90.00°, γ = 90.00°
With the nearest neighbours (Å) after each atom.
Atoms (fractional coordinates):
Ho 0.0000 0.0000 0.0000  8 Tl 3.21
Ho 0.0000 0.5000 0.5000  8 Tl 3.21
Ho 0.5000 0.0000 0.5000  8 Tl 3.21
Ho 0.5000 0.5000 0.0000  8 Tl 3.21
Er 0.0000 0.0000 0.5000  8 Tl 3.21
Er 0.0000 0.5000 0.0000  8 Tl 3.21
Er 0.5000 0.0000 0.0000  8 Tl 3.21
Er 0.5000 0.5000 0.5000  8 Tl 3.21
Tl 0.2500 0.2500 0.2500  4 Ho 3.21, 4 Er 3.21
Tl 0.2500 0.2500 0.7500  4 Ho 3.21, 4 Er 3.21
Tl 0.2500 0.7500 0.2500  4 Ho 3.21, 4 Er 3.21
Tl 0.2500 0.7500 0.7500  4 Er 3.21, 4 Ho 3.21
Tl 0.7500 0.2500 0.2500  4 Ho 3.21, 4 Er 3.21
Tl 0.7500 0.2500 0.7500  4 Er 3.21, 4 Ho 3.21
Tl 0.7500 0.7500 0.2500  4 Er 3.21, 4 Ho 3.21
Tl 0.7500 0.7500 0.7500  4 Ho 3.21, 4 Er 3.21


Computed, not measured: a geometry-optimized TaSbMo structure at the GGA-PBEsol level of DFT.

Properties
- Spin magnetization: 0.00 Bohr magnetons per cell
- Raw formation energy: 0.227 eV/atom

a = 4.6450 Å, b = 4.6450 Å, c = 2.8875 Å
α = 90.00°, β = 90.00°, γ = 120.00°
With the nearest neighbours (Å) after each atom.
Atoms (fractional coordinates):
Ta 0.0000 0.0000 0.0000  2 Ta 2.89, 6 Mo 2.93-3.18, 6 Sb 2.99-3.11
Sb 0.6667 0.3333 0.4547  3 Mo 2.69, 2 Sb 2.89, 3 Ta 2.99
Mo 0.3333 0.6667 0.4067  3 Sb 2.69, 2 Mo 2.89, 3 Ta 2.93


Computed, not measured: a geometry-optimized NbAs2C structure at the GGA-PBEsol level of DFT.

Properties
- Spin magnetization: 0.00 Bohr magnetons per cell
- Energy of formation from the pure elements: 0.6476 eV/atom

a = 5.7528 Å, b = 5.7528 Å, c = 7.7454 Å
α = 90.00°, β = 90.00°, γ = 90.00°
With the nearest neighbours (Å) after each atom.
Atoms (fractional coordinates):
Nb 0.0000 0.0000 0.0000  4 As 2.59
Nb 0.0000 0.5000 0.2500  4 As 2.59
Nb 0.5000 0.0000 0.7500  4 As 2.59
Nb 0.5000 0.5000 0.5000  4 As 2.59
As 0.1644 0.2500 0.6250  2 C 1.98
As 0.2500 0.6644 0.8750  2 C 1.98
As 0.2500 0.8356 0.3750  2 C 1.98
As 0.3356 0.2500 0.1250  2 C 1.98
As 0.6644 0.7500 0.1250  2 C 1.98
As 0.7500 0.1644 0.3750  2 C 1.98
As 0.7500 0.3356 0.8750  2 C 1.98
As 0.8356 0.7500 0.6250  2 C 1.98
C 0.0000 0.0000 0.5000  4 As 1.98
C 0.0000 0.5000 0.7500  4 As 1.98
C 0.5000 0.0000 0.2500  4 As 1.98
C 0.5000 0.5000 0.0000  4 As 1.98


Computed, not measured: a geometry-optimized NiPRh2 structure at the GGA-PBEsol level of DFT.

Properties
- Spin magnetization: 0.00 Bohr magnetons per cell
- Energy of formation from the pure elements: -0.3179 eV/atom

a = 3.4560 Å, b = 2.7796 Å, c = 10.4532 Å
α = 90.00°, β = 90.00°, γ = 90.00°
With the nearest neighbours (Å) after each atom.
Atoms (fractional coordinates):
Ni 0.0000 0.0000 0.0000  4 P 2.35
Ni 0.0000 0.5000 0.5000  4 P 2.35
P 0.5000 0.0000 0.5755  3 Rh 2.22-2.27, 4 Ni 2.35
P 0.5000 0.5000 0.0755  3 Rh 2.22-2.27, 4 Ni 2.35
Rh 0.0000 0.0000 0.7165  2 P 2.27
Rh 0.0000 0.5000 0.2165  2 P 2.27
Rh 0.5000 0.0000 0.3632  1 P 2.22
Rh 0.5000 0.5000 0.8632  1 P 2.22


Computed, not measured: a geometry-optimized LiCa9CoP7O28 structure at the GGA-PBEsol level of DFT.

Properties
- Spin magnetization: 6.00 Bohr magnetons per cell
- Raw formation energy: -2.772 eV/atom

a = 13.6522 Å, b = 13.6522 Å, c = 13.6522 Å
α = 44.12°, β = 44.12°, γ = 44.12°
With the nearest neighbours (Å) after each atom.
Atoms (fractional coordinates):
Li 0.0000 0.0000 0.0000  3 O 2.19
Li 0.5000 0.5000 0.5000  3 O 2.19
Ca 0.0189 0.6181 0.6065  7 O 2.30-2.48
Ca 0.1065 0.1181 0.5189  7 O 2.30-2.48
Ca 0.1181 0.5189 0.1065  7 O 2.30-2.48
Ca 0.1246 0.7318 0.7127  8 O 2.37-2.62
Ca 0.2127 0.2318 0.6246  8 O 2.37-2.62
Ca 0.2318 0.6246 0.2127  8 O 2.37-2.62
Ca 0.2472 0.8291 0.2764  7 O 2.32-2.57
Ca 0.2764 0.2472 0.8291  7 O 2.32-2.57
Ca 0.3291 0.7472 0.7764  7 O 2.32-2.57
Ca 0.5189 0.1065 0.1181  7 O 2.30-2.48
Ca 0.6065 0.0189 0.6181  7 O 2.30-2.48
Ca 0.6181 0.6065 0.0189  7 O 2.30-2.48
Ca 0.6246 0.2127 0.2318  8 O 2.37-2.62
Ca 0.7127 0.1246 0.7318  8 O 2.37-2.62
Ca 0.7318 0.7127 0.1246  8 O 2.37-2.62
Ca 0.7472 0.7764 0.3291  7 O 2.32-2.57
Ca 0.7764 0.3291 0.7472  7 O 2.32-2.57
Ca 0.8291 0.2764 0.2472  7 O 2.32-2.57
Co 0.1790 0.1790 0.1790  6 O 2.06-2.07
Co 0.6790 0.6790 0.6790  6 O 2.06-2.07
P 0.3529 0.8757 0.9103  4 O 1.54-1.57
P 0.3757 0.8529 0.4103  4 O 1.54-1.57
P 0.4103 0.3757 0.8529  4 O 1.54-1.57
P 0.4151 0.4151 0.4151  4 O 1.55
P 0.4570 0.9945 0.4978  4 O 1.54-1.56
P 0.4945 0.9570 0.9978  4 O 1.54-1.56
P 0.4978 0.4570 0.9945  4 O 1.54-1.56
P 0.8529 0.4103 0.3757  4 O 1.54-1.57
P 0.8757 0.9103 0.3529  4 O 1.54-1.57
P 0.9103 0.3529 0.8757  4 O 1.54-1.57
P 0.9151 0.9151 0.9151  4 O 1.55
P 0.9570 0.9978 0.4945  4 O 1.54-1.56
P 0.9945 0.4978 0.4570  4 O 1.54-1.56
P 0.9978 0.4945 0.9570  4 O 1.54-1.56
O 0.0086 0.5688 0.9942  1 P 1.54
O 0.0091 0.8255 0.5559  1 P 1.54
O 0.0300 0.3087 0.3019  1 P 1.57
O 0.0334 0.5976 0.2822  1 P 1.55
O 0.0478 0.0627 0.3151  1 P 1.56
O 0.0508 0.8305 0.3042  1 P 1.54
O 0.0559 0.3255 0.5091  1 P 1.54
O 0.0627 0.3151 0.0478  1 P 1.56
O 0.0688 0.5086 0.4942  1 P 1.54
O 0.0713 0.7855 0.9293  1 P 1.55
O 0.0723 0.3458 0.7906  1 P 1.55
O 0.0976 0.5334 0.7822  1 P 1.55
O 0.2466 0.8438 0.9344  1 P 1.56
O 0.2822 0.0334 0.5976  1 P 1.55
O 0.2855 0.5713 0.4293  1 P 1.55
O 0.2906 0.8458 0.5723  1 P 1.55
O 0.3019 0.0300 0.3087  1 P 1.57
O 0.3042 0.0508 0.8305  1 P 1.54
O 0.3087 0.3019 0.0300  1 P 1.57
O 0.3151 0.0478 0.0627  1 P 1.56
O 0.3255 0.5091 0.0559  1 P 1.54
O 0.3305 0.5508 0.8042  1 P 1.54
O 0.3438 0.7466 0.4344  1 P 1.56
O 0.3458 0.7906 0.0723  1 P 1.55
O 0.3732 0.3732 0.3732  1 P 1.55
O 0.4293 0.2855 0.5713  1 P 1.55
O 0.4344 0.3438 0.7466  1 P 1.56
O 0.4942 0.0688 0.5086  1 P 1.54
O 0.5091 0.0559 0.3255  1 P 1.54
O 0.5086 0.4942 0.0688  1 P 1.54
O 0.5300 0.8019 0.8087  1 P 1.57
O 0.5334 0.7822 0.0976  1 P 1.55
O 0.5478 0.8151 0.5627  1 P 1.56
O 0.5508 0.8042 0.3305  1 P 1.54
O 0.5559 0.0091 0.8255  1 P 1.54
O 0.5627 0.5478 0.8151  1 P 1.56
O 0.5688 0.9942 0.0086  1 P 1.54
O 0.5713 0.4293 0.2855  1 P 1.55
O 0.5723 0.2906 0.8458  1 P 1.55
O 0.5976 0.2822 0.0334  1 P 1.55
O 0.7466 0.4344 0.3438  1 P 1.56
O 0.7822 0.0976 0.5334  1 P 1.55
O 0.7855 0.9293 0.0713  1 P 1.55
O 0.7906 0.0723 0.3458  1 P 1.55
O 0.8019 0.8087 0.5300  1 P 1.57
O 0.8042 0.3305 0.5508  1 P 1.54
O 0.8087 0.5300 0.8019  1 P 1.57
O 0.8151 0.5627 0.5478  1 P 1.56
O 0.8255 0.5559 0.0091  1 P 1.54
O 0.8305 0.3042 0.0508  1 P 1.54
O 0.8438 0.9344 0.2466  1 P 1.56
O 0.8458 0.5723 0.2906  1 P 1.55
O 0.8732 0.8732 0.8732  1 P 1.55
O 0.9293 0.0713 0.7855  1 P 1.55
O 0.9344 0.2466 0.8438  1 P 1.56
O 0.9942 0.0086 0.5688  1 P 1.54


Computed, not measured: a geometry-optimized DyCo5P3 structure at the GGA-PBEsol level of DFT.

Properties
- Spin magnetization: 3.46 Bohr magnetons per cell
- Energy of formation from the pure elements: -0.9423 eV/atom

a = 11.5706 Å, b = 3.5923 Å, c = 10.1544 Å
α = 90.00°, β = 90.00°, γ = 90.00°
With the nearest neighbours (Å) after each atom.
Atoms (fractional coordinates):
Dy 0.2029 0.2500 0.0836  6 P 2.76-2.82, 9 Co 2.85-3.07
Dy 0.2971 0.7500 0.5836  6 P 2.76-2.82, 9 Co 2.85-3.07
Dy 0.7029 0.2500 0.4164  6 P 2.76-2.82, 9 Co 2.85-3.07
Dy 0.7971 0.7500 0.9164  6 P 2.76-2.82, 9 Co 2.85-3.07
Co 0.0085 0.7500 0.7162  3 P 2.18-2.40
Co 0.0121 0.7500 0.0930  4 P 2.26-2.28
Co 0.0685 0.7500 0.4687  4 P 2.12-2.20
Co 0.1765 0.2500 0.7804  4 P 2.14-2.30
Co 0.1981 0.2500 0.3833  4 P 2.24-2.27, 2 Co 2.49
Co 0.3019 0.7500 0.8833  4 P 2.24-2.27, 2 Co 2.49
Co 0.3235 0.7500 0.2804  4 P 2.14-2.30
Co 0.4315 0.2500 0.9687  4 P 2.12-2.20
Co 0.4879 0.2500 0.5930  4 P 2.26-2.28
Co 0.4915 0.2500 0.2162  3 P 2.18-2.40
Co 0.5085 0.7500 0.7838  3 P 2.18-2.40
Co 0.5121 0.7500 0.4070  4 P 2.26-2.28
Co 0.5685 0.7500 0.0313  4 P 2.12-2.20
Co 0.6765 0.2500 0.7196  4 P 2.14-2.30
Co 0.6981 0.2500 0.1167  4 P 2.24-2.27, 2 Co 2.49
Co 0.8019 0.7500 0.6167  4 P 2.24-2.27, 2 Co 2.49
Co 0.8235 0.7500 0.2196  4 P 2.14-2.30
Co 0.9315 0.2500 0.5313  4 P 2.12-2.20
Co 0.9879 0.2500 0.9070  4 P 2.26-2.28
Co 0.9915 0.2500 0.2838  3 P 2.18-2.40
P 0.1089 0.7500 0.8982  7 Co 2.18-2.30
P 0.1115 0.2500 0.5832  5 Co 2.14-2.26
P 0.1291 0.7500 0.2713  5 Co 2.12-2.27
P 0.3709 0.2500 0.7713  5 Co 2.12-2.27
P 0.3885 0.7500 0.0832  5 Co 2.14-2.26
P 0.3911 0.2500 0.3982  7 Co 2.18-2.30
P 0.6089 0.7500 0.6018  7 Co 2.18-2.30
P 0.6115 0.2500 0.9168  5 Co 2.14-2.26
P 0.6291 0.7500 0.2287  5 Co 2.12-2.27
P 0.8709 0.2500 0.7287  5 Co 2.12-2.27
P 0.8885 0.7500 0.4168  5 Co 2.14-2.26
P 0.8911 0.2500 0.1018  7 Co 2.18-2.30


Computed, not measured: a geometry-optimized LiCu2Se2 structure at the GGA-PBEsol level of DFT.

Properties
- Spin magnetization: 0.00 Bohr magnetons per cell
- Raw formation energy: -0.391 eV/atom

a = 3.6588 Å, b = 3.6588 Å, c = 13.1124 Å
α = 90.00°, β = 90.00°, γ = 90.00°
With the nearest neighbours (Å) after each atom.
Atoms (fractional coordinates):
Li 0.0000 0.0000 0.0000  8 Se 3.07
Li 0.5000 0.5000 0.5000  8 Se 3.07
Cu 0.0000 0.5000 0.2500  4 Se 2.44, 4 Cu 2.59
Cu 0.0000 0.5000 0.7500  4 Se 2.44, 4 Cu 2.59
Cu 0.5000 0.0000 0.2500  4 Se 2.44, 4 Cu 2.59
Cu 0.5000 0.0000 0.7500  4 Se 2.44, 4 Cu 2.59
Se 0.0000 0.0000 0.3734  4 Cu 2.44
Se 0.0000 0.0000 0.6266  4 Cu 2.44
Se 0.5000 0.5000 0.1266  4 Cu 2.44
Se 0.5000 0.5000 0.8734  4 Cu 2.44